[1]
VASP calculation (SCAN) on a crystal of MnIn2Se2S2 relaxed with PBEsol.

Cell lengths 12.086, 12.086, 12.086 Å; angles 19.29, 19.29, 19.29 degrees
Element x y z (fractional)
Mn 0.000 0.000 0.000
In 0.221 0.221 0.221
In 0.438 0.438 0.438
Se 0.511 0.511 0.511
Se 0.927 0.927 0.927
S 0.079 0.079 0.079
S 0.341 0.341 0.341

Results
For the total magnetization, the calculation gives 4.922 Bohr magnetons per cell. As for the density: 4.99 Mg/m³. The calculation puts the total energy at -149.32 eV/cell. The value obtained for the volume is 24.06 Å³ per atom. The uncorrected formation energy is -696.9 meV per atom.

[2]
VASP calculation (SCAN) on a crystal of YMnIn2S relaxed with PBEsol.

Cell lengths 5.148, 5.148, 4.135 Å; angles 90.00, 90.00, 90.00 degrees
Element x y z (fractional)
Y 0.000 0.000 0.000
Mn 0.500 0.500 0.500
In 0.000 0.500 0.500
In 0.500 0.000 0.500
S 0.500 0.500 0.000

Results
For the total magnetization, the calculation gives 2.933 Bohr magnetons per cell. As for the density: 6.15 Mg/m³. The calculation puts the total energy at -123.17 eV/cell. The value obtained for the volume is 21.91 Å³ per atom. The uncorrected formation energy is -133.7 meV per atom.

[3]
VASP calculation (SCAN) on a crystal of MnZnIn4S8 relaxed with PBEsol.

Cell lengths 12.617, 12.617, 6.679 Å; angles 94.91, 94.91, 17.55 degrees
Element x y z (fractional)
Mn 0.000 0.000 0.000
Zn 0.147 0.147 0.383
In 0.348 0.348 0.111
In 0.502 0.502 0.492
In 0.648 0.648 0.872
In 0.847 0.847 0.608
S 0.052 0.052 0.336
S 0.184 0.184 0.072
S 0.302 0.302 0.428
S 0.445 0.445 0.135
S 0.548 0.548 0.855
S 0.681 0.681 0.539
S 0.803 0.803 0.929
S 0.944 0.944 0.654

Results
For the total magnetization, the calculation gives 5.000 Bohr magnetons per cell. As for the density: 4.35 Mg/m³. The calculation puts the total energy at -253.30 eV/cell. The value obtained for the volume is 22.81 Å³ per atom. The uncorrected formation energy is -783.0 meV per atom.

[4]
VASP calculation (SCAN) on a crystal of MnIn2Sb relaxed with PBEsol.

Cell lengths 7.134, 7.134, 7.134 Å; angles 90.00, 90.00, 90.00 degrees
Element x y z (fractional)
Mn 0.000 0.000 0.000
Mn 0.000 0.500 0.500
Mn 0.500 0.000 0.500
Mn 0.500 0.500 0.000
In 0.000 0.000 0.500
In 0.000 0.500 0.000
In 0.250 0.250 0.250
In 0.250 0.750 0.750
In 0.500 0.000 0.000
In 0.500 0.500 0.500
In 0.750 0.250 0.750
In 0.750 0.750 0.250
Sb 0.250 0.250 0.750
Sb 0.250 0.750 0.250
Sb 0.750 0.250 0.250
Sb 0.750 0.750 0.750

Results
For the total magnetization, the calculation gives 16.332 Bohr magnetons per cell. As for the density: 7.43 Mg/m³. The calculation puts the total energy at -486.02 eV/cell. The value obtained for the volume is 22.69 Å³ per atom. The uncorrected formation energy is 196.1 meV per atom.